## AlCoAu3 (PBE)

Data for a geometry-optimized AlCoAu3 structure.

Values from the calculation:
- Energy relative to the lowest polymorph listed for this composition: 0.030 eV per atom
- Energy relative to the elements: 0.749 eV/atom
- V: 107.2 Å³ per cell

abc: 4.751 4.751 4.751
angles: 90.00 90.00 90.00
Site moments in Bohr magnetons follow the coordinates.
Fractional coordinates of all 5 atoms:
1 Co 0.500 0.500 0.500  2.15
2 Al 0.000 0.000 0.000  0.00
3 Au 0.000 0.500 0.000  0.01
4 Au 0.500 0.000 0.000  -0.01
5 Au 0.000 0.000 0.500  0.02